(1)
VASP calculation (GGA+U) on crystalline NdV4Cu3O12 at its relaxed geometry.

- uncorrected energy (Ry per atom) = -0.5189
- calculated density (g cm⁻³) = 5.9
- volume (Å³/cell) = 412.4

The structure in CIF format:
```
data_NdV4Cu3O12
_symmetry_space_group_name_H-M 'I m -3'
_symmetry_Int_Tables_number 204
_symmetry_space_group_name_Hall '-I 2 2 3'
_cell_length_a 7.4433
_cell_length_b 7.4433
_cell_length_c 7.4433
_cell_angle_alpha 90.00
_cell_angle_beta 90.00
_cell_angle_gamma 90.00
loop_
_atom_site_label
_atom_site_fract_x
_atom_site_fract_y
_atom_site_fract_z
Nd1 0.0000 0.0000 0.0000
V1 0.2500 0.2500 0.2500
Cu1 0.0000 0.0000 0.5000
O1 0.0000 0.1795 0.2981
```

=====

(2)
VASP calculation (GGA+U) on crystalline NdV2CuO8 at its relaxed geometry.

- uncorrected energy (Ry per atom) = -0.5191
- calculated density (g cm⁻³) = 4.2
- volume (Å³/cell) = 174.8

The structure in CIF format:
```
data_NdV2CuO8
_symmetry_space_group_name_H-M 'P -3 m 1'
_symmetry_Int_Tables_number 164
_symmetry_space_group_name_Hall '-P 3 2"'
_cell_length_a 5.8078
_cell_length_b 5.8078
_cell_length_c 5.9842
_cell_angle_alpha 90.00
_cell_angle_beta 90.00
_cell_angle_gamma 120.00
loop_
_atom_site_label
_atom_site_fract_x
_atom_site_fract_y
_atom_site_fract_z
Nd1 0.0000 0.0000 0.0000
V1 0.3333 0.6667 0.6239
Cu1 0.0000 0.0000 0.5000
O1 0.1624 0.3249 0.7126
O2 0.3333 0.6667 0.3511
```

=====

(3)
VASP calculation (GGA+U) on crystalline NdCuW2O8 at its relaxed geometry.

- uncorrected energy (Ry per atom) = -0.5409
- calculated density (g cm⁻³) = 6.8
- volume (Å³/cell) = 171.5

The structure in CIF format:
```
data_NdCuW2O8
_symmetry_space_group_name_H-M 'P -1'
_symmetry_Int_Tables_number 2
_cell_length_a 5.1406
_cell_length_b 6.1015
_cell_length_c 6.3287
_cell_angle_alpha 108.34
_cell_angle_beta 92.31
_cell_angle_gamma 112.28
loop_
_symmetry_equiv_pos_as_xyz
'x,y,z'
'-x,-y,-z'
loop_
_atom_site_label
_atom_site_fract_x
_atom_site_fract_y
_atom_site_fract_z
Nd1 0.0000 0.0000 0.0000
Cu1 0.5000 0.0000 0.5000
W1 0.2494 0.4858 0.6606
O1 0.0225 0.6872 0.6633
O2 0.0246 0.2560 0.7745
O3 0.4709 0.3000 0.5256
O4 0.4995 0.2691 0.0869
```